Material: YCSe2N
Method: DFT, PBE
State: optimized geometry

Lattice parameters (Å, degrees): 4.665 4.665 3.678 90.00 90.00 90.00
Space group P4/mmm (No. 123)
One atom of each set of equivalent atoms:
Y1 0.000 0.000 0.000 (multiplicity 1)
C1 0.500 0.500 0.500 (multiplicity 1)
Se1 0.000 0.500 0.500 (multiplicity 2)
N1 0.500 0.500 0.000 (multiplicity 1)

Output
crystal system = tetragonal
uncorrected formation energy = 3.440 eV/f.u.
density of states at the Fermi level = 1.59 states/eV/cell

Material: DyEr2In2Hg2
Method: DFT, PBE
State: optimized geometry

Lattice parameters (Å, degrees): 4.9328 4.9328 26.2617 90.00 90.00 120.00
Space group R-3m (No. 166, hexagonal axes)
One atom of each set of equivalent atoms:
Dy1 0.0000 0.0000 0.0000 (multiplicity 3)
Er1 0.0000 0.0000 0.1315 (multiplicity 6)
In1 0.0000 0.0000 0.2690 (multiplicity 6)
Hg1 0.0000 0.0000 0.4292 (multiplicity 6)

Output
crystal system = trigonal
ΔH_f (0 K) = -0.25 eV/atom
density of states at the Fermi level = 12.31 states/eV/cell

Material: BiMo3H
Method: DFT, PBE
State: optimized geometry

Lattice parameters (Å, degrees): 4.181 4.181 4.181 90.00 90.00 90.00
Space group Pm-3m (No. 221)
One atom of each set of equivalent atoms:
Bi1 0.000 0.000 0.000 (multiplicity 1)
Mo1 0.000 0.500 0.500 (multiplicity 3)
H1 0.500 0.500 0.500 (multiplicity 1)

Output
crystal system = cubic
E_tot = -7.38 eV/atom
density of states at the Fermi level = 6.54 states/eV/cell

Material: Na3LiI
Method: DFT, PBE
State: optimized geometry

Lattice parameters (Å, degrees): 5.815 5.815 5.815 90.00 90.00 90.00
Space group Pm-3m (No. 221)
One atom of each set of equivalent atoms:
Na1 0.000 0.000 0.500 (multiplicity 3)
Li1 0.000 0.000 0.000 (multiplicity 1)
I1 0.500 0.500 0.500 (multiplicity 1)

Output
crystal system = cubic
uncorrected formation energy = -0.341 eV/f.u.
density of states at the Fermi level = 5.36 states/eV/cell

Material: Pr2CoH6Pt
Method: DFT, PBE
State: optimized geometry

Lattice parameters (Å, degrees): 7.170 7.561 7.647 90.00 90.00 90.00
Space group Fmmm (No. 69)
One atom of each set of equivalent atoms:
Pr1 0.250 0.250 0.250 (multiplicity 8)
Co1 0.000 0.000 0.000 (multiplicity 4)
H1 0.000 0.000 0.216 (multiplicity 8)
H2 0.000 0.220 0.000 (multiplicity 8)
H3 0.239 0.000 0.000 (multiplicity 8)
Pt1 0.000 0.000 0.500 (multiplicity 4)

Output
crystal system = orthorhombic
E_tot = -4.75 eV/atom
density of states at the Fermi level = 14.66 states/eV/cell

Material: As2OsBr
Method: DFT, PBE
State: optimized geometry

Lattice parameters (Å, degrees): 2.994 3.039 20.092 90.00 90.00 90.00
Space group Imm2 (No. 44)
One atom of each set of equivalent atoms:
As1 0.000 0.000 0.000 (multiplicity 2)
As2 0.000 0.500 0.170 (multiplicity 2)
Os1 0.000 0.000 0.571 (multiplicity 2)
Br1 0.000 0.500 0.831 (multiplicity 2)

Output
crystal system = orthorhombic
uncorrected formation energy = 0.895 eV/f.u.
density of states at the Fermi level = 6.55 states/eV/cell

Material: Ho4Er4Tm5
Method: DFT, PBE
State: optimized geometry

Lattice parameters (Å, degrees): 12.607 12.607 4.940 90.00 90.00 90.00
Space group I4/m (No. 87)
One atom of each set of equivalent atoms:
Ho1 0.154 0.230 0.000 (multiplicity 8)
Er1 0.077 0.615 0.000 (multiplicity 8)
Tm1 0.000 0.000 0.000 (multiplicity 2)
Tm2 0.038 0.808 0.500 (multiplicity 8)

Output
crystal system = tetragonal
ΔH_f (0 K) = 0.02 eV/atom
density of states at the Fermi level = 34.72 states/eV/cell

Material: DyH2Cl6
Method: DFT, PBE
State: optimized geometry

Lattice parameters (Å, degrees): 12.620 11.397 7.173 90.00 98.85 90.00
Space group C2/c (No. 15)
One atom of each set of equivalent atoms:
Dy1 0.000 0.091 0.250 (multiplicity 4)
H1 0.122 0.450 0.366 (multiplicity 8)
Cl1 0.114 0.070 0.965 (multiplicity 8)
Cl2 0.120 0.434 0.856 (multiplicity 8)
Cl3 0.125 0.263 0.384 (multiplicity 8)

Output
crystal system = monoclinic
E_tot = -3.60 eV/atom
density of states at the Fermi level = 15.89 states/eV/cell

Material: RbSmMgF6
Method: DFT, PBE
State: optimized geometry

Lattice parameters (Å, degrees): 7.335 7.812 10.268 90.00 90.00 90.00
Space group Imma (No. 74)
One atom of each set of equivalent atoms:
Rb1 0.000 0.250 0.088 (multiplicity 4)
Sm1 0.000 0.000 0.500 (multiplicity 4)
Mg1 0.250 0.250 0.750 (multiplicity 4)
F1 0.000 0.250 0.386 (multiplicity 4)
F2 0.000 0.250 0.674 (multiplicity 4)
F3 0.233 0.063 0.884 (multiplicity 16)

Output
crystal system = orthorhombic
uncorrected formation energy = -32.301 eV/f.u.
density of states at the Fermi level = 0.00 states/eV/cell

Material: BRhC
Method: DFT, PBE
State: optimized geometry

Lattice parameters (Å, degrees): 2.806 2.851 3.552 90.00 90.34 90.00
Space group Pm (No. 6)
One atom of each set of equivalent atoms:
B1 0.000 0.000 0.000 (multiplicity 1)
Rh1 0.503 0.500 0.630 (multiplicity 1)
C1 0.501 0.000 0.180 (multiplicity 1)

Output
crystal system = monoclinic
ΔH_f (0 K) = 0.41 eV/atom
density of states at the Fermi level = 1.61 states/eV/cell

Material: RbTlCl3
Method: DFT, PBE
State: optimized geometry

Lattice parameters (Å, degrees): 5.4749 5.4749 11.2426 90.00 90.00 120.00
Space group P6_3/mmc (No. 194)
One atom of each set of equivalent atoms:
Rb1 0.3333 0.6667 0.2500 (multiplicity 2)
Tl1 0.0000 0.0000 0.0000 (multiplicity 2)
Cl1 0.0000 0.0000 0.2500 (multiplicity 2)
Cl2 0.3333 0.6667 0.5552 (multiplicity 4)

Output
crystal system = hexagonal
uncorrected formation energy = -5.554 eV/f.u.
density of states at the Fermi level = 9.27 states/eV/cell

Material: RbPrHg
Method: DFT, PBE
State: optimized geometry

Lattice parameters (Å, degrees): 17.688 4.067 7.062 90.00 90.00 90.00
Space group Amm2 (No. 38)
One atom of each set of equivalent atoms:
Rb1 0.163 0.000 0.000 (multiplicity 4)
Pr1 0.377 0.000 0.331 (multiplicity 4)
Hg1 0.000 0.000 0.332 (multiplicity 2)
Hg2 0.500 0.000 0.998 (multiplicity 2)

Output
crystal system = orthorhombic
ΔH_f (0 K) = 0.04 eV/atom
density of states at the Fermi level = 10.01 states/eV/cell

Material: TiTcNi2C
Method: DFT, PBE
State: optimized geometry

Lattice parameters (Å, degrees): 4.466 4.466 3.845 90.00 90.00 90.00
Space group P4/mmm (No. 123)
One atom of each set of equivalent atoms:
Ti1 0.000 0.000 0.000 (multiplicity 1)
Tc1 0.500 0.500 0.500 (multiplicity 1)
Ni1 0.000 0.500 0.500 (multiplicity 2)
C1 0.500 0.500 0.000 (multiplicity 1)

Output
crystal system = tetragonal
ΔH_f (0 K) = 1.09 eV/atom
density of states at the Fermi level = 5.76 states/eV/cell

Material: Ac3TeOs
Method: DFT, PBE
State: optimized geometry

Lattice parameters (Å, degrees): 5.792 5.792 5.792 90.00 90.00 90.00
Space group Pm-3m (No. 221)
One atom of each set of equivalent atoms:
Ac1 0.000 0.000 0.500 (multiplicity 3)
Te1 0.500 0.500 0.500 (multiplicity 1)
Os1 0.000 0.000 0.000 (multiplicity 1)

Output
crystal system = cubic
uncorrected formation energy = -1.734 eV/f.u.
density of states at the Fermi level = 5.02 states/eV/cell

Material: Cs4HoAg3Br12
Method: DFT, PBE
State: optimized geometry

Lattice parameters (Å, degrees): 11.184 11.184 11.184 90.00 90.00 90.00
Space group Im-3m (No. 229)
One atom of each set of equivalent atoms:
Cs1 0.250 0.250 0.250 (multiplicity 8)
Ho1 0.000 0.000 0.000 (multiplicity 2)
Ag1 0.000 0.000 0.500 (multiplicity 6)
Br1 0.000 0.000 0.247 (multiplicity 12)
Br2 0.000 0.250 0.500 (multiplicity 12)

Output
crystal system = cubic
uncorrected formation energy = -24.438 eV/f.u.
density of states at the Fermi level = 12.00 states/eV/cell

Material: TmGa2Ni
Method: DFT, PBE
State: optimized geometry

Lattice parameters (Å, degrees): 3.145 3.145 6.798 90.00 90.00 90.00
Space group P4/mmm (No. 123)
One atom of each set of equivalent atoms:
Tm1 0.000 0.000 0.000 (multiplicity 1)
Ga1 0.500 0.500 0.305 (multiplicity 2)
Ni1 0.000 0.000 0.500 (multiplicity 1)

Output
crystal system = tetragonal
ΔH_f (0 K) = -0.42 eV/atom
density of states at the Fermi level = 2.36 states/eV/cell

Material: Tb2CdFe
Method: DFT, PBE
State: optimized geometry

Lattice parameters (Å, degrees): 3.452 3.452 7.722 90.00 90.00 90.00
Space group P4/mmm (No. 123)
One atom of each set of equivalent atoms:
Tb1 0.000 0.000 0.212 (multiplicity 2)
Cd1 0.500 0.500 0.500 (multiplicity 1)
Fe1 0.500 0.500 0.000 (multiplicity 1)

Output
crystal system = tetragonal
ΔH_f (0 K) = -0.10 eV/atom
density of states at the Fermi level = 4.30 states/eV/cell

Material: CdTeAs2
Method: DFT, PBE
State: optimized geometry

Lattice parameters (Å, degrees): 3.986 3.986 6.560 90.00 90.00 90.00
Space group P4mm (No. 99)
One atom of each set of equivalent atoms:
Cd1 0.000 0.000 0.000 (multiplicity 1)
Te1 0.500 0.500 0.152 (multiplicity 1)
As1 0.000 0.000 0.593 (multiplicity 1)
As2 0.500 0.500 0.554 (multiplicity 1)

Output
crystal system = tetragonal
uncorrected formation energy = 0.045 eV/f.u.
density of states at the Fermi level = 1.32 states/eV/cell

Material: Hf3Zn3CoPd2
Method: DFT, PBE
State: optimized geometry

Lattice parameters (Å, degrees): 7.3435 7.3435 3.2284 90.00 90.00 120.00
Space group P-62m (No. 189)
One atom of each set of equivalent atoms:
Hf1 0.0000 0.7343 0.0000 (multiplicity 3)
Zn1 0.0000 0.3789 0.5000 (multiplicity 3)
Co1 0.0000 0.0000 0.5000 (multiplicity 1)
Pd1 0.3333 0.6667 0.0000 (multiplicity 2)

Output
crystal system = hexagonal
ΔH_f (0 K) = -0.45 eV/atom
density of states at the Fermi level = 2.94 states/eV/cell

Material: ThZr2TaC4
Method: DFT, PBE
State: optimized geometry

Lattice parameters (Å, degrees): 3.421 11.925 11.890 90.00 90.00 90.00
Space group Cmcm (No. 63)
One atom of each set of equivalent atoms:
Th1 0.000 0.119 0.250 (multiplicity 4)
Zr1 0.000 0.369 0.034 (multiplicity 8)
Ta1 0.000 0.147 0.750 (multiplicity 4)
C1 0.000 0.000 0.000 (multiplicity 4)
C2 0.000 0.257 0.618 (multiplicity 8)
C3 0.000 0.455 0.250 (multiplicity 4)

Output
crystal system = orthorhombic
ΔH_f (0 K) = -0.36 eV/atom
density of states at the Fermi level = 10.79 states/eV/cell